The following is a PBE-GGA calculation of a geometry-optimized Na3Fe2Cl8 structure, from Alexandria via LeMat-Bulk.

a b c (Å): 7.6551 7.6551 6.9522
angles (deg): 107.69 107.69 64.34
Sites, in units of the cell vectors:
Na1 0.0000 0.0000 0.0000
Na2 0.2684 0.7316 0.5000
Na3 0.7316 0.2684 0.5000
Fe1 0.3151 0.3151 0.8702
Fe2 0.6849 0.6849 0.1298
Cl1 0.1242 0.1242 0.7372
Cl2 0.1425 0.6006 0.7574
Cl3 0.3654 0.3654 0.2156
Cl4 0.3994 0.8575 0.2426
Cl5 0.6006 0.1425 0.7574
Cl6 0.6346 0.6346 0.7844
Cl7 0.8575 0.3994 0.2426
Cl8 0.8758 0.8758 0.2628

* SG: C2/m, No. 12
* formation energy (no corrections): -1.24 eV per atom

---

The following is a PBE-GGA calculation of a geometry-optimized Na2FeCl2 structure, from Alexandria via LeMat-Bulk.

a b c (Å): 6.8380 6.8380 6.8380
angles (deg): 133.49 133.49 67.89
Sites, in units of the cell vectors:
Na1 0.2164 0.2164 0.0000
Na2 0.7836 0.7836 0.0000
Fe1 0.5000 0.5000 0.0000
Cl1 0.2500 0.7500 0.5000
Cl2 0.7500 0.2500 0.5000

* SG: I4/mmm, No. 139
* formation energy (no corrections): -0.37 eV per atom
* distance to the lowest polymorph of the same formula: 1.77 kcal/mol of atoms

---

The following is a PBE-GGA calculation of a geometry-optimized NaFeCl2 structure, from Alexandria via LeMat-Bulk.

a b c (Å): 4.6657 4.6657 4.6657
angles (deg): 60.00 60.00 60.00
Sites, in units of the cell vectors:
Na1 0.0000 0.0000 0.0000
Fe1 0.5000 0.5000 0.5000
Cl1 0.2500 0.2500 0.2500
Cl2 0.7500 0.7500 0.7500

* SG: Fm-3m, No. 225
* formation energy (no corrections): -0.51 eV per atom
* distance to the lowest polymorph of the same formula: 4.79 kcal/mol of atoms

---

The following is a PBE-GGA calculation of a geometry-optimized Na2FeCl2 structure, from Alexandria via LeMat-Bulk.

a b c (Å): 8.1735 8.1735 3.3735
angles (deg): 90.00 90.00 90.00
Sites, in units of the cell vectors:
Na1 0.1430 0.3570 0.0000
Na2 0.3570 0.8570 0.0000
Na3 0.6430 0.1430 0.0000
Na4 0.8570 0.6430 0.0000
Fe1 0.0000 0.0000 0.0000
Fe2 0.5000 0.5000 0.0000
Cl1 0.1540 0.6540 0.5000
Cl2 0.3460 0.1540 0.5000
Cl3 0.6540 0.8460 0.5000
Cl4 0.8460 0.3460 0.5000

* SG: P4/mbm, No. 127
* formation energy (no corrections): -0.45 eV per atom
* distance to the lowest polymorph of the same formula: 0.00 kcal/mol of atoms

---

The following is a PBE-GGA calculation of a geometry-optimized Na2Fe2Cl7 structure, from Alexandria via LeMat-Bulk.

a b c (Å): 7.3208 7.3208 6.3980
angles (deg): 97.53 97.53 103.68
Sites, in units of the cell vectors:
Na1 0.1930 0.8070 0.0000
Na2 0.8070 0.1930 0.0000
Fe1 0.2688 0.2688 0.5914
Fe2 0.7312 0.7312 0.4086
Cl1 0.0985 0.4224 0.7825
Cl2 0.1058 0.1058 0.2744
Cl3 0.4224 0.0985 0.7825
Cl4 0.5000 0.5000 0.5000
Cl5 0.5776 0.9015 0.2175
Cl6 0.8942 0.8942 0.7256
Cl7 0.9015 0.5776 0.2175

* SG: C2/m, No. 12
* formation energy (no corrections): -1.13 eV per atom

---

The following is a PBE-GGA calculation of a geometry-optimized NaFeCl5 structure, from Alexandria via LeMat-Bulk.

a b c (Å): 6.6522 6.6522 9.4618
angles (deg): 102.30 102.30 110.16
Sites, in units of the cell vectors:
Na1 0.1407 0.8593 0.7500
Na2 0.8593 0.1407 0.2500
Fe1 0.5000 0.5000 0.0000
Fe2 0.5000 0.5000 0.5000
Cl1 0.1420 0.2620 0.9435
Cl2 0.2217 0.5757 0.3860
Cl3 0.2620 0.1420 0.4435
Cl4 0.3982 0.6018 0.7500
Cl5 0.4243 0.7783 0.1140
Cl6 0.5757 0.2217 0.8860
Cl7 0.6018 0.3982 0.2500
Cl8 0.7380 0.8580 0.5565
Cl9 0.7783 0.4243 0.6140
Cl10 0.8580 0.7380 0.0565

* SG: C2/c, No. 15
* formation energy (no corrections): -0.88 eV per atom

---

Q: Which formula does entry 5 have?
A: Na2Fe2Cl7

---

Q: What is the formation energy (no corrections) in the second record?
A: -0.37 eV per atom

---

Q: Which of these has the highest formation energy (no corrections)?
A: number 2